[1]
Below is a relaxed structure of LaBi3Se6, with properties calculated at the GGA-PBE level.

CIF file:
```
data_LaBi3Se6
_chemical_formula_sum 'La2 Bi6 Se12'
_space_group_name_H-M_alt 'P 1 21/m 1'
_space_group_IT_number 11
_space_group_name_Hall '-P 2yb'
_cell_length_a 12.311
_cell_length_b 4.214
_cell_length_c 12.383
_cell_angle_alpha 90.00
_cell_angle_beta 108.60
_cell_angle_gamma 90.00
loop_
_atom_site_label
_atom_site_type_symbol
_atom_site_fract_x
_atom_site_fract_y
_atom_site_fract_z
La1 La 0.192 0.250 0.040
Bi1 Bi 0.032 0.750 0.302
Bi2 Bi 0.339 0.250 0.440
Bi3 Bi 0.401 0.750 0.848
Se1 Se 0.033 0.750 0.893
Se2 Se 0.117 0.250 0.467
Se3 Se 0.234 0.750 0.244
Se4 Se 0.241 0.250 0.803
Se5 Se 0.394 0.750 0.073
Se6 Se 0.424 0.750 0.600
```

Its formation energy (no corrections) is -8.0 eV/f.u.

=====

[2]
Below is a relaxed structure of KCaHgS2, with properties calculated at the GGA-PBE level.

CIF file:
```
data_KCaHgS2
_chemical_formula_sum 'K2 Ca2 Hg2 S4'
_space_group_name_H-M_alt 'P 1 2/c 1'
_space_group_IT_number 13
_space_group_name_Hall '-P 2yc'
_cell_length_a 7.664
_cell_length_b 5.954
_cell_length_c 7.583
_cell_angle_alpha 90.00
_cell_angle_beta 99.03
_cell_angle_gamma 90.00
loop_
_atom_site_label
_atom_site_type_symbol
_atom_site_fract_x
_atom_site_fract_y
_atom_site_fract_z
K1 K 0.000 0.223 0.250
Ca1 Ca 0.500 0.015 0.750
Hg1 Hg 0.500 0.500 0.000
S1 S 0.269 0.161 0.970
```

Its formation energy (no corrections) is -4.8 eV/f.u.

=====

[3]
Below is a relaxed structure of AcSmTlHg, with properties calculated at the GGA-PBE level.

CIF file:
```
data_AcSmTlHg
_chemical_formula_sum 'Ac1 Sm1 Tl1 Hg1'
_space_group_name_H-M_alt 'P 4 m m'
_space_group_IT_number 99
_space_group_name_Hall 'P 4 -2'
_cell_length_a 3.942
_cell_length_b 3.942
_cell_length_c 8.003
_cell_angle_alpha 90.00
_cell_angle_beta 90.00
_cell_angle_gamma 90.00
loop_
_atom_site_label
_atom_site_type_symbol
_atom_site_fract_x
_atom_site_fract_y
_atom_site_fract_z
Ac1 Ac 0.000 0.000 0.000
Sm1 Sm 0.000 0.000 0.483
Tl1 Tl 0.500 0.500 0.719
Hg1 Hg 0.500 0.500 0.272
```

The excess energy over the best structure of this formula in the dataset is 0.000 eV per atom. As for the formation energy: -0.410 eV/atom.

=====

[4]
Below is a relaxed structure of HS, with properties calculated at the GGA-PBE level.

CIF file:
```
data_HS
_chemical_formula_sum 'H4 S4'
_space_group_name_H-M_alt 'F -4 3 m'
_space_group_IT_number 216
_space_group_name_Hall 'F -4 2 3'
_cell_length_a 4.395
_cell_length_b 4.395
_cell_length_c 4.395
_cell_angle_alpha 90.00
_cell_angle_beta 90.00
_cell_angle_gamma 90.00
loop_
_atom_site_label
_atom_site_type_symbol
_atom_site_fract_x
_atom_site_fract_y
_atom_site_fract_z
H1 H 0.000 0.000 0.000
S1 S 0.250 0.250 0.750
```

The excess energy over the best structure of this formula in the dataset is 0.939 eV per atom.

=====

[5]
Below is a relaxed structure of Zn2AgPRh, with properties calculated at the GGA-PBE level.

CIF file:
```
data_Zn2AgPRh
_chemical_formula_sum 'Zn2 Ag1 P1 Rh1'
_space_group_name_H-M_alt 'P 4/m m m'
_space_group_IT_number 123
_space_group_name_Hall '-P 4 2'
_cell_length_a 4.555
_cell_length_b 4.555
_cell_length_c 4.422
_cell_angle_alpha 90.00
_cell_angle_beta 90.00
_cell_angle_gamma 90.00
loop_
_atom_site_label
_atom_site_type_symbol
_atom_site_fract_x
_atom_site_fract_y
_atom_site_fract_z
Zn1 Zn 0.000 0.500 0.000
Ag1 Ag 0.000 0.000 0.500
P1 P 0.500 0.500 0.000
Rh1 Rh 0.500 0.500 0.500
```

As for the formation energy: 0.263 eV/atom.

=====

[6]
Below is a relaxed structure of LiGe2AsW, with properties calculated at the GGA-PBE level.

CIF file:
```
data_LiGe2AsW
_chemical_formula_sum 'Li1 Ge2 As1 W1'
_space_group_name_H-M_alt 'P 4/m m m'
_space_group_IT_number 123
_space_group_name_Hall '-P 4 2'
_cell_length_a 4.537
_cell_length_b 4.537
_cell_length_c 4.178
_cell_angle_alpha 90.00
_cell_angle_beta 90.00
_cell_angle_gamma 90.00
loop_
_atom_site_label
_atom_site_type_symbol
_atom_site_fract_x
_atom_site_fract_y
_atom_site_fract_z
Li1 Li 0.000 0.000 0.000
Ge1 Ge 0.000 0.500 0.000
As1 As 0.000 0.000 0.500
W1 W 0.500 0.500 0.500
```

As for the formation energy: 1.157 eV/atom.

=====

[7]
Below is a relaxed structure of Sm2Ag3Pb, with properties calculated at the GGA-PBE level.

CIF file:
```
data_Sm2Ag3Pb
_chemical_formula_sum 'Sm16 Ag24 Pb8'
_space_group_name_H-M_alt 'F m m m'
_space_group_IT_number 69
_space_group_name_Hall '-F 2 2'
_cell_length_a 7.066
_cell_length_b 9.789
_cell_length_c 17.040
_cell_angle_alpha 90.00
_cell_angle_beta 90.00
_cell_angle_gamma 90.00
loop_
_atom_site_label
_atom_site_type_symbol
_atom_site_fract_x
_atom_site_fract_y
_atom_site_fract_z
Sm1 Sm 0.240 0.000 0.000
Sm2 Sm 0.250 0.250 0.250
Ag1 Ag 0.000 0.000 0.165
Ag2 Ag 0.000 0.245 0.082
Pb1 Pb 0.000 0.000 0.335
```

As for the formation energy: -0.300 eV/atom.

=====

[8]
Below is a relaxed structure of NaGaBi, with properties calculated at the GGA-PBE level.

CIF file:
```
data_NaGaBi
_chemical_formula_sum 'Na4 Ga4 Bi4'
_space_group_name_H-M_alt 'F -4 3 m'
_space_group_IT_number 216
_space_group_name_Hall 'F -4 2 3'
_cell_length_a 7.046
_cell_length_b 7.046
_cell_length_c 7.046
_cell_angle_alpha 90.00
_cell_angle_beta 90.00
_cell_angle_gamma 90.00
loop_
_atom_site_label
_atom_site_type_symbol
_atom_site_fract_x
_atom_site_fract_y
_atom_site_fract_z
Na1 Na 0.000 0.000 0.000
Ga1 Ga 0.250 0.250 0.250
Bi1 Bi 0.000 0.000 0.500
```

The excess energy over the best structure of this formula in the dataset is 0.087 eV per atom. As for the formation energy: -0.084 eV/atom.

=====

[9]
Below is a relaxed structure of KVTcS3, with properties calculated at the GGA-PBE level.

CIF file:
```
data_KVTcS3
_chemical_formula_sum 'K2 V2 Tc2 S6'
_space_group_name_H-M_alt 'P 1 21/m 1'
_space_group_IT_number 11
_space_group_name_Hall '-P 2yb'
_cell_length_a 8.280
_cell_length_b 3.421
_cell_length_c 9.522
_cell_angle_alpha 90.00
_cell_angle_beta 114.57
_cell_angle_gamma 90.00
loop_
_atom_site_label
_atom_site_type_symbol
_atom_site_fract_x
_atom_site_fract_y
_atom_site_fract_z
K1 K 0.239 0.250 0.246
V1 V 0.308 0.750 0.841
Tc1 Tc 0.087 0.250 0.617
S1 S 0.123 0.250 0.872
S2 S 0.235 0.750 0.558
S3 S 0.467 0.750 0.124
```

Its formation energy (no corrections) is -5.0 eV/f.u.

=====

[10]
Below is a relaxed structure of Pm3OsBrCl, with properties calculated at the GGA-PBE level.

CIF file:
```
data_Pm3OsBrCl
_chemical_formula_sum 'Pm6 Os2 Br2 Cl2'
_space_group_name_H-M_alt 'P 1 21/m 1'
_space_group_IT_number 11
_space_group_name_Hall '-P 2yb'
_cell_length_a 9.179
_cell_length_b 3.986
_cell_length_c 9.529
_cell_angle_alpha 90.00
_cell_angle_beta 103.48
_cell_angle_gamma 90.00
loop_
_atom_site_label
_atom_site_type_symbol
_atom_site_fract_x
_atom_site_fract_y
_atom_site_fract_z
Pm1 Pm 0.139 0.250 0.108
Pm2 Pm 0.143 0.250 0.460
Pm3 Pm 0.261 0.750 0.811
Os1 Os 0.036 0.250 0.762
Br1 Br 0.414 0.750 0.133
Cl1 Cl 0.369 0.750 0.560
```

Its formation energy (no corrections) is -5.9 eV/f.u.

=====

[11]
Below is a relaxed structure of HoMnAl, with properties calculated at the GGA-PBE level.

CIF file:
```
data_HoMnAl
_chemical_formula_sum 'Ho2 Mn2 Al2'
_space_group_name_H-M_alt 'I 4 m m'
_space_group_IT_number 107
_space_group_name_Hall 'I 4 -2'
_cell_length_a 3.247
_cell_length_b 3.247
_cell_length_c 10.995
_cell_angle_alpha 90.00
_cell_angle_beta 90.00
_cell_angle_gamma 90.00
loop_
_atom_site_label
_atom_site_type_symbol
_atom_site_fract_x
_atom_site_fract_y
_atom_site_fract_z
Ho1 Ho 0.000 0.000 0.000
Mn1 Mn 0.000 0.000 0.676
Al1 Al 0.000 0.000 0.295
```

As for the formation energy: -0.097 eV/atom.

=====

[12]
Below is a relaxed structure of SrCeSi2, with properties calculated at the GGA-PBE level.

CIF file:
```
data_SrCeSi2
_chemical_formula_sum 'Sr3 Ce3 Si6'
_space_group_name_H-M_alt 'R -3 m'
_space_group_IT_number 166
_space_group_name_Hall '-R 3 2"'
_cell_length_a 4.8455
_cell_length_b 4.8455
_cell_length_c 15.7654
_cell_angle_alpha 90.00
_cell_angle_beta 90.00
_cell_angle_gamma 120.00
loop_
_atom_site_label
_atom_site_type_symbol
_atom_site_fract_x
_atom_site_fract_y
_atom_site_fract_z
Sr1 Sr 0.0000 0.0000 0.0000
Ce1 Ce 0.0000 0.0000 0.5000
Si1 Si 0.0000 0.0000 0.2336
```

Its formation energy (no corrections) is -0.8 eV/f.u.